[1]
# Mg4Bi2N

Mg4Bi2N after structural relaxation (PBE-GGA, the Alexandria database).

The space group is I4/mmm (No. 139) and the conventional cell measures 4.3869, 4.3869 and 15.2577 Å, with angles of 90.00, 90.00 and 90.00 degrees. The distinct sites, in fractional coordinates, are Mg at (0.0000, 0.0000, 0.1408), Mg at (0.0000, 0.5000, 0.0000), Bi at (0.0000, 0.0000, 0.3413) and N at (0.0000, 0.0000, 0.0000).

The formation energy from raw total energies is -2.66 eV per formula unit. The energy relative to the lowest polymorph listed for this composition is 0.0 kJ per mole of atoms.

***

[2]
# NaY2NiC

NaY2NiC after structural relaxation (PBE-GGA, the Alexandria database).

The space group is P4/mmm (No. 123) and the conventional cell measures 5.1042, 5.1042 and 3.7596 Å, with angles of 90.00, 90.00 and 90.00 degrees. The distinct sites, in fractional coordinates, are Na at (0.0000, 0.0000, 0.0000), Y at (0.0000, 0.5000, 0.5000), Ni at (0.5000, 0.5000, 0.0000) and C at (0.5000, 0.5000, 0.5000).

The formation energy is -0.0162 eV per atom.

***

Number 1: V 20.974 A^3/atom, density 6.0 g/cm³, energy -3.5892 eV per atom. Number 2: V 19.589 A^3/atom, density 4.6 g/cm³, energy -5.8667 eV per atom.